This record from the Open Quantum Materials Database describes a relaxed NbSiAg crystal. The functional is PBE.

Geometry as CIF:
```
data_NbSiAg
_symmetry_space_group_name_H-M 'P 1'
_symmetry_Int_Tables_number 1
_cell_length_a 4.381
_cell_length_b 4.381
_cell_length_c 4.381
_cell_angle_alpha 60.00
_cell_angle_beta 60.00
_cell_angle_gamma 60.00
loop_
_symmetry_equiv_pos_as_xyz
'x,y,z'
loop_
_atom_site_label
_atom_site_fract_x
_atom_site_fract_y
_atom_site_fract_z
Nb1 0.000 0.000 0.000
Ag1 0.250 0.250 0.250
Si1 0.750 0.750 0.750
```

Properties
Calculated density, kg/m3: 6392
Total energy, eV/cell: -16.816